Compound: BaZnGaHg2
Source: the Alexandria database
Functional: PBE
Structure: optimized geometry

Computed properties:
Formation energy from the elements (eV/atom): -0.173
Distance to the lowest polymorph of the same formula (kJ/mol of formula units): 0.0
SG: P4/mmm, No. 123

Lattice parameters (Å, degrees): 5.334 5.334 5.037 90.00 90.00 90.00
Positions (direct):
1 Ba 0.000 0.000 0.000
2 Zn 0.500 0.500 0.500
3 Ga 0.500 0.500 0.000
4 Hg 0.000 0.500 0.500
5 Hg 0.500 0.000 0.500

Compound: BaZnGaHg2
Source: the Alexandria database
Functional: PBE
Structure: optimized geometry

Computed properties:
Formation energy from the elements (eV/atom): -0.150
Distance to the lowest polymorph of the same formula (kJ/mol of formula units): 11.0
SG: P4/mmm, No. 123

Lattice parameters (Å, degrees): 5.392 5.392 5.044 90.00 90.00 90.00
Positions (direct):
1 Ba 0.000 0.000 0.000
2 Zn 0.500 0.500 0.000
3 Ga 0.500 0.500 0.500
4 Hg 0.000 0.500 0.500
5 Hg 0.500 0.000 0.500

Compound: Ba2Zn3Ga4Hg
Source: the Alexandria database
Functional: PBE
Structure: optimized geometry

Computed properties:
Formation energy from the elements (eV/atom): -0.332
SG: P-4m2, No. 115

Lattice parameters (Å, degrees): 4.616 4.616 11.071 90.00 90.00 90.00
Positions (direct):
1 Ba 0.000 0.500 0.247
2 Ba 0.500 0.000 0.753
3 Zn 0.000 0.500 0.876
4 Zn 0.500 0.000 0.124
5 Zn 0.500 0.500 0.500
6 Ga 0.000 0.000 0.000
7 Ga 0.000 0.500 0.636
8 Ga 0.500 0.000 0.364
9 Ga 0.500 0.500 0.000
10 Hg 0.000 0.000 0.500

Compound: Ba2Zn4GaHg3
Source: the Alexandria database
Functional: PBE
Structure: optimized geometry

Computed properties:
Formation energy from the elements (eV/atom): -0.275
SG: P-4m2, No. 115

Lattice parameters (Å, degrees): 4.788 4.788 11.042 90.00 90.00 90.00
Positions (direct):
1 Ba 0.000 0.500 0.249
2 Ba 0.500 0.000 0.751
3 Zn 0.000 0.000 0.500
4 Zn 0.000 0.500 0.879
5 Zn 0.500 0.000 0.121
6 Zn 0.500 0.500 0.500
7 Ga 0.500 0.500 0.000
8 Hg 0.000 0.000 0.000
9 Hg 0.000 0.500 0.628
10 Hg 0.500 0.000 0.372

Compound: BaHo2Ga
Source: the Alexandria database
Functional: PBE
Structure: optimized geometry

Computed properties:
Formation energy from the elements (eV/atom): 0.007
SG: R-3m, No. 166

Lattice parameters (Å, degrees): 11.666 11.666 11.666 18.04 18.04 18.04
Positions (direct):
1 Ba 0.000 0.000 0.000
2 Ho 0.107 0.107 0.107
3 Ho 0.893 0.893 0.893
4 Ga 0.500 0.500 0.500

Compound: BaHo4Ga3O12
Source: the Alexandria database
Functional: PBE
Structure: optimized geometry

Computed properties:
SG: Im-3, No. 204
Uncorrected formation energy (eV per atom): -2.60

Lattice parameters (Å, degrees): 7.098 7.098 7.098 109.47 109.47 109.47
Positions (direct):
1 Ba 0.000 0.000 0.000
2 Ho 0.000 0.000 0.500
3 Ho 0.000 0.500 0.000
4 Ho 0.500 0.000 0.000
5 Ho 0.500 0.500 0.500
6 Ga 0.000 0.500 0.500
7 Ga 0.500 0.000 0.500
8 Ga 0.500 0.500 0.000
9 O 0.159 0.485 0.326
10 O 0.159 0.833 0.674
11 O 0.167 0.326 0.841
12 O 0.326 0.159 0.485
13 O 0.326 0.841 0.167
14 O 0.485 0.326 0.159
15 O 0.515 0.674 0.841
16 O 0.674 0.159 0.833
17 O 0.674 0.841 0.515
18 O 0.833 0.674 0.159
19 O 0.841 0.167 0.326
20 O 0.841 0.515 0.674

| no. | DOS at the Fermi energy (states/eV per cell) |
| --- | --- |
| 1 | 3.56 |
| 2 | 3.48 |
| 3 | 4.55 |
| 4 | 6.96 |
| 5 | 4.29 |
| 6 | 11.28 |